a.
Density functional theory data (PBE) for an optimized crystal structure of SrCoRe.

- Symmetry: P3m1, No. 156
- Volume: 55.5 Å³/f.u.
- Density of states at the Fermi level: 4.25 states/eV/cell
- Mass density: 9.9 g/cm³

a = 4.8277 Å, b = 4.8277 Å, c = 2.7518 Å
α = 90.00°, β = 90.00°, γ = 120.00°
Each line ends with the local moment (μB).
Atoms (fractional coordinates):
1 Re 0.6667 0.3333 0.1693  0.04
2 Co 0.0000 0.0000 0.1638  1.28
3 Sr 0.3333 0.6667 0.6670  -0.02

---

b.
Density functional theory data (PBE) for an optimized crystal structure of SrCoRe.

- Symmetry: Pm, No. 6
- Volume: 60.7 Å³/f.u.
- Density of states at the Fermi level: 5.37 states/eV/cell
- Mass density: 9.1 g/cm³

a = 7.8416 Å, b = 4.9916 Å, c = 5.9091 Å
α = 73.46°, β = 124.93°, γ = 65.04°
Atoms (fractional coordinates):
1 Co 0.7589 0.4208 0.1243
2 Co 0.2590 0.1934 0.6187
3 Sr 0.2585 0.5634 0.0343
4 Sr 0.7583 0.5594 0.6048
5 Re 0.7590 0.9387 0.0378
6 Re 0.2588 0.7511 0.5127

---

c.
Density functional theory data (PBE) for an optimized crystal structure of SrCoRe.

- Symmetry: I4mm, No. 107
- Volume: 57.6 Å³/f.u.
- Density of states at the Fermi level: 2.97 states/eV/cell
- Mass density: 9.6 g/cm³

a = 6.5240 Å, b = 6.5234 Å, c = 3.0592 Å
α = 76.45°, β = 76.43°, γ = 27.12°
Each line ends with the local moment (μB).
Atoms (fractional coordinates):
1 Co 0.9630 0.9630 0.0370  0.42
2 Re 0.3725 0.3725 0.6275  0.04
3 Sr 0.6645 0.6645 0.3355  -0.01

---

Stability, lowest: a

---

a.
Density functional theory data (PBE) for an optimized crystal structure of SrCoRe.

- Symmetry: P4/nmm, No. 129
- Volume: 71.1 Å³/f.u.
- Density of states at the Fermi level: 6.75 states/eV/cell
- Mass density: 7.8 g/cm³

a = 4.1854 Å, b = 4.1854 Å, c = 8.1208 Å
α = 90.00°, β = 90.00°, γ = 90.00°
Each line ends with the local moment (μB).
Atoms (fractional coordinates):
1 Co 0.5000 0.0000 0.6450  0.89
2 Co 0.0000 0.5000 0.3550  0.89
3 Sr 0.5000 0.0000 0.1813  -0.02
4 Sr 0.0000 0.5000 0.8187  -0.02
5 Re 0.5000 0.5000 0.5000  0.32
6 Re 0.0000 0.0000 0.5000  0.32

---

b.
Density functional theory data (PBE) for an optimized crystal structure of SrCoRe.

- Symmetry: F-43m, No. 216
- Volume: 74.1 Å³/f.u.
- Density of states at the Fermi level: 6.43 states/eV/cell
- Mass density: 7.5 g/cm³

a = 4.7154 Å, b = 4.7154 Å, c = 4.7154 Å
α = 60.00°, β = 60.00°, γ = 60.00°
Each line ends with the local moment (μB).
Atoms (fractional coordinates):
1 Re 0.5000 0.5000 0.5000  -2.40
2 Sr 0.7500 0.7500 0.7500  -0.03
3 Co 0.0000 0.0000 0.0000  -1.70

---

c.
Density functional theory data (PBE) for an optimized crystal structure of SrCoRe.

- Symmetry: Imma, No. 74
- Volume: 68.4 Å³/f.u.
- Density of states at the Fermi level: 3.79 states/eV/cell
- Mass density: 8.1 g/cm³

a = 6.4152 Å, b = 6.4152 Å, c = 3.9552 Å
α = 72.06°, β = 107.94°, γ = 76.00°
Atoms (fractional coordinates):
1 Sr 0.8641 0.2157 0.9920
2 Sr 0.3641 0.7157 0.9920
3 Re 0.2610 0.3189 0.6388
4 Re 0.4672 0.1126 0.3451
5 Co 0.8049 0.7749 0.6831
6 Co 0.9233 0.6566 0.3013

---

d.
Density functional theory data (PBE) for an optimized crystal structure of SrCoRe.

- Symmetry: Pm, No. 6
- Volume: 71.4 Å³/f.u.
- Density of states at the Fermi level: 3.91 states/eV/cell
- Mass density: 7.7 g/cm³

a = 4.2097 Å, b = 4.2877 Å, c = 7.9184 Å
α = 92.34°, β = 90.00°, γ = 90.00°
Each line ends with the local moment (μB).
Atoms (fractional coordinates):
1 Co 0.7589 0.0769 0.4504  0.49
2 Co 0.2588 0.1909 0.3107  0.33
3 Sr 0.2588 0.6442 0.6329  -0.01
4 Sr 0.7587 0.1561 0.9860  -0.01
5 Re 0.7587 0.5818 0.3224  -0.05
6 Re 0.2587 0.7096 0.1777  -0.04

---

Stability, lowest: b

---

a.
Density functional theory data (PBE) for an optimized crystal structure of SrCoRe.

- Symmetry: C2/m, No. 12
- Volume: 74.9 Å³/f.u.
- Density of states at the Fermi level: 6.16 states/eV/cell
- Mass density: 7.4 g/cm³

a = 4.0987 Å, b = 4.0973 Å, c = 10.5656 Å
α = 78.80°, β = 89.77°, γ = 60.04°
Each line ends with the local moment (μB).
Atoms (fractional coordinates):
1 Co 0.4530 0.9481 0.1999  0.60
2 Co 0.5245 0.7984 0.4268  0.60
3 Sr 0.7255 0.4076 0.0092  -0.01
4 Sr 0.2520 0.3390 0.6175  -0.01
5 Re 0.1387 0.5746 0.2609  0.02
6 Re 0.8388 0.1719 0.3658  0.02

---

b.
Density functional theory data (PBE) for an optimized crystal structure of SrCoRe.

- Symmetry: P6_3/mmc, No. 194
- Volume: 108.6 Å³/f.u.
- Density of states at the Fermi level: 9.62 states/eV/cell
- Mass density: 5.1 g/cm³

a = 5.3647 Å, b = 5.3647 Å, c = 8.7114 Å
α = 90.00°, β = 90.00°, γ = 120.00°
Each line ends with the local moment (μB).
Atoms (fractional coordinates):
1 Sr 0.6667 0.3333 0.7500  0.05
2 Sr 0.3333 0.6667 0.2500  0.05
3 Re 0.0000 0.0000 0.7500  1.32
4 Re 0.0000 0.0000 0.2500  1.32
5 Co 0.0000 0.0000 0.0000  0.92
6 Co 0.0000 0.0000 0.5000  0.91

---

c.
Density functional theory data (PBE) for an optimized crystal structure of SrCoRe.

- Symmetry: Cmcm, No. 63
- Volume: 60.9 Å³/f.u.
- Density of states at the Fermi level: 11.70 states/eV/cell
- Mass density: 9.1 g/cm³

a = 11.3665 Å, b = 5.0808 Å, c = 4.2150 Å
α = 90.00°, β = 90.00°, γ = 90.00°
Atoms (fractional coordinates):
1 Co 0.5449 0.7500 0.0000
2 Co 0.9551 0.2500 0.5000
3 Co 0.4551 0.2500 0.0000
4 Co 0.0449 0.7500 0.5000
5 Re 0.5000 0.5000 0.5000
6 Re 0.5000 0.0000 0.5000
7 Re 0.0000 0.0000 0.0000
8 Re 0.0000 0.5000 0.0000
9 Sr 0.2112 0.2500 0.5001
10 Sr 0.7112 0.2500 0.9999
11 Sr 0.2888 0.7500 0.0001
12 Sr 0.7888 0.7500 0.4999

---

d.
Density functional theory data (PBE) for an optimized crystal structure of SrCoRe.

- Symmetry: F-43m, No. 216
- Volume: 62.6 Å³/f.u.
- Density of states at the Fermi level: 4.42 states/eV/cell
- Mass density: 8.8 g/cm³

a = 4.4573 Å, b = 4.4573 Å, c = 4.4573 Å
α = 60.00°, β = 60.00°, γ = 60.00°
Each line ends with the local moment (μB).
Atoms (fractional coordinates):
1 Sr 0.7500 0.7500 0.7500  0.00
2 Re 0.2500 0.2500 0.2500  0.06
3 Co 0.5000 0.5000 0.5000  0.11

---

Stability, lowest: b